1.
Density functional theory data (GGA-PBE) for crystalline ScAl2Tl at its relaxed geometry.

```
ScAl2Tl
1.0
1.617 0.933 9.768
-1.617 0.933 9.768
0.000 -1.867 9.768
Sc Al Tl
1 2 1
direct
0.000 0.000 0.000
0.254 0.254 0.254
0.746 0.746 0.746
0.500 0.500 0.500
```

Summary:
Magnetic moment: 0.000 μB/cell
Calculated volume: 88 Å³ per cell
Raw total energy: -4.01 eV/atom
Mass density: 5.70 Mg/m³
Energy relative to the elements: 0.033 eV/atom

=====

2.
Density functional theory data (GGA-PBE) for crystalline Sc2AlTl at its relaxed geometry.

```
Sc2AlTl
1.0
-1.632 2.677 5.939
1.632 -2.677 5.939
1.632 2.677 -5.939
Sc Al Tl
2 1 1
direct
0.244 0.244 0.000
0.756 0.756 0.000
0.000 0.000 0.000
0.500 0.500 0.000
```

Summary:
Magnetic moment: 0.000 μB/cell
Calculated volume: 104 Å³ per cell
Raw total energy: -4.31 eV/atom
Mass density: 5.14 Mg/m³
Energy relative to the elements: 0.385 eV/atom